# Tb6Pr2Sm3

Crystalline Tb6Pr2Sm3 at its relaxed geometry (PBE, the Alexandria database).

Values from the calculation:
- energy of formation from the pure elements (eV/atom) = 0.26
- magnetic moment (μB per cell) = 0.00
- uncorrected energy (eV/atom) = -4.42
- ΔE to the lowest computed polymorph (meV per atom) = 78
- density of states at the Fermi level (states/eV per atom) = 1.448

Unit cell a=17.1221 b=17.1221 c=17.1221 alpha=163.93 beta=163.93 gamma=22.80
Closest atoms and distances in Å follow each position.
Fractional positions:
Tb (0.1219, 0.6219, 0.5000)  6 Tb 3.38-3.44, 2 Pr 3.49, 2 Sm 3.60
Tb (0.1956, 0.1956, 0.0000)  5 Sm 3.39-3.44, 4 Tb 3.44
Tb (0.3781, 0.8781, 0.5000)  6 Tb 3.38-3.44, 2 Pr 3.49, 2 Sm 3.60
Tb (0.6219, 0.1219, 0.5000)  6 Tb 3.38-3.44, 2 Pr 3.49, 2 Sm 3.60
Tb (0.8044, 0.8044, 0.0000)  5 Sm 3.39-3.44, 4 Tb 3.44
Tb (0.8781, 0.3781, 0.5000)  6 Tb 3.38-3.44, 2 Pr 3.49, 2 Sm 3.60
Pr (0.0463, 0.0463, 0.0000)  1 Pr 3.11
Pr (0.9537, 0.9537, 0.0000)  1 Pr 3.11
Sm (0.2980, 0.2980, 0.0000)  9 Tb 3.39-3.60
Sm (0.5000, 0.5000, 0.0000)  8 Pr 3.72
Sm (0.7020, 0.7020, 0.0000)  9 Tb 3.39-3.60

# Tb8Pr6Sm

Crystalline Tb8Pr6Sm at its relaxed geometry (PBE, the Alexandria database).

Values from the calculation:
- energy of formation from the pure elements (eV/atom) = 0.18
- magnetic moment (μB per cell) = 0.00
- uncorrected energy (eV/atom) = -4.51
- ΔE to the lowest computed polymorph (meV per atom) = 63
- density of states at the Fermi level (states/eV per atom) = 1.543

Unit cell a=9.4933 b=9.4933 c=6.5916 alpha=90.00 beta=90.00 gamma=120.00
Closest atoms and distances in Å follow each position.
Fractional positions:
Tb (0.0943, 0.6549, 0.3417)  1 Tb 3.31, 4 Pr 3.33-3.57
Tb (0.3333, 0.6667, 0.8801)  3 Pr 3.29
Tb (0.3451, 0.4394, 0.3417)  1 Tb 3.31, 4 Pr 3.33-3.57
Tb (0.4394, 0.0943, 0.6583)  1 Tb 3.31, 4 Pr 3.33-3.57
Tb (0.5606, 0.9057, 0.3417)  1 Tb 3.31, 4 Pr 3.33-3.57
Tb (0.6549, 0.5606, 0.6583)  1 Tb 3.31, 4 Pr 3.33-3.57
Tb (0.6667, 0.3333, 0.1199)  3 Pr 3.29
Tb (0.9057, 0.3451, 0.6583)  1 Tb 3.31, 4 Pr 3.33-3.57
Pr (0.0340, 0.7451, 0.8342)  5 Tb 3.29-3.57, 2 Pr 3.39, 1 Sm 3.41
Pr (0.2549, 0.2890, 0.8342)  5 Tb 3.29-3.57, 2 Pr 3.39, 1 Sm 3.41
Pr (0.2890, 0.0340, 0.1658)  5 Tb 3.29-3.57, 2 Pr 3.39, 1 Sm 3.41
Pr (0.7110, 0.9660, 0.8342)  5 Tb 3.29-3.57, 2 Pr 3.39, 1 Sm 3.41
Pr (0.7451, 0.7110, 0.1658)  5 Tb 3.29-3.57, 2 Pr 3.39, 1 Sm 3.41
Pr (0.9660, 0.2549, 0.1658)  5 Tb 3.29-3.57, 2 Pr 3.39, 1 Sm 3.41
Sm (0.0000, 0.0000, 0.5000)  6 Pr 3.41

# Tb4PrSm7

Crystalline Tb4PrSm7 at its relaxed geometry (PBE, the Alexandria database).

Values from the calculation:
- energy of formation from the pure elements (eV/atom) = 0.21
- magnetic moment (μB per cell) = 0.00
- uncorrected energy (eV/atom) = -4.49
- ΔE to the lowest computed polymorph (meV per atom) = 206
- density of states at the Fermi level (states/eV per atom) = 1.697

Unit cell a=8.6145 b=8.6145 c=9.4173 alpha=114.52 beta=114.52 gamma=40.70
Closest atoms and distances in Å follow each position.
Fractional positions:
Tb (0.0726, 0.0726, 0.1980)  2 Sm 3.27-3.52, 2 Tb 3.41-3.66
Tb (0.1712, 0.1712, 0.8863)  7 Sm 3.22-3.54
Tb (0.8288, 0.8288, 0.1137)  7 Sm 3.22-3.54
Tb (0.9274, 0.9274, 0.8020)  2 Sm 3.27-3.52, 2 Tb 3.41-3.66
Pr (0.5000, 0.5000, 0.5000)  4 Sm 3.00-3.13
Sm (0.0000, 0.0000, 0.5000)  2 Pr 3.00
Sm (0.2850, 0.2850, 0.6182)  6 Sm 3.35-3.67, 3 Tb 3.71-3.72
Sm (0.2894, 0.2894, 0.2655)  1 Pr 3.13, 4 Tb 3.22-3.50, 2 Sm 3.35-3.44
Sm (0.4156, 0.4156, 0.0518)  2 Sm 3.28-3.44, 3 Tb 3.47-3.54
Sm (0.5844, 0.5844, 0.9482)  2 Sm 3.28-3.44, 3 Tb 3.47-3.54
Sm (0.7106, 0.7106, 0.7345)  1 Pr 3.13, 4 Tb 3.22-3.50, 2 Sm 3.35-3.44
Sm (0.7150, 0.7150, 0.3818)  6 Sm 3.35-3.67, 3 Tb 3.71-3.72

# Tb5Pr12Sm2

Crystalline Tb5Pr12Sm2 at its relaxed geometry (PBE, the Alexandria database).

Values from the calculation:
- energy of formation from the pure elements (eV/atom) = 0.16
- magnetic moment (μB per cell) = 0.00
- uncorrected energy (eV/atom) = -4.57
- ΔE to the lowest computed polymorph (meV per atom) = 42
- density of states at the Fermi level (states/eV per atom) = 1.586

Unit cell a=10.3609 b=10.3609 c=10.1771 alpha=113.78 beta=113.78 gamma=42.82
Closest atoms and distances in Å follow each position.
Fractional positions:
Tb (0.0000, 0.0000, 0.0000)  2 Pr 2.97
Tb (0.1776, 0.1776, 0.6748)  5 Pr 3.46-3.75, 2 Tb 3.79, 2 Sm 3.84
Tb (0.3206, 0.3206, 0.3012)  2 Sm 3.51, 8 Pr 3.70-3.89, 2 Tb 3.79
Tb (0.6794, 0.6794, 0.6988)  2 Sm 3.51, 8 Pr 3.70-3.89, 2 Tb 3.79
Tb (0.8224, 0.8224, 0.3252)  5 Pr 3.46-3.75, 2 Tb 3.79, 2 Sm 3.84
Pr (0.0082, 0.0082, 0.7150)  1 Tb 2.97, 2 Sm 3.10
Pr (0.0753, 0.5935, 0.9983)  5 Pr 3.27-3.66
Pr (0.0885, 0.5895, 0.6483)  6 Pr 3.45-3.79, 3 Tb 3.68-3.83
Pr (0.4065, 0.9247, 0.0017)  5 Pr 3.27-3.66
Pr (0.4105, 0.9115, 0.3517)  6 Pr 3.45-3.79, 3 Tb 3.68-3.83
Pr (0.4925, 0.4925, 0.1693)  5 Pr 3.40-3.58, 2 Sm 3.64
Pr (0.5075, 0.5075, 0.8307)  5 Pr 3.40-3.58, 2 Sm 3.64
Pr (0.5895, 0.0885, 0.6483)  6 Pr 3.45-3.79, 3 Tb 3.68-3.83
Pr (0.5935, 0.0753, 0.9983)  5 Pr 3.27-3.66
Pr (0.9115, 0.4105, 0.3517)  6 Pr 3.45-3.79, 3 Tb 3.68-3.83
Pr (0.9247, 0.4065, 0.0017)  5 Pr 3.27-3.66
Pr (0.9918, 0.9918, 0.2851)  1 Tb 2.97, 2 Sm 3.10
Sm (0.2988, 0.7012, 0.5000)  1 Sm 3.04, 2 Pr 3.10
Sm (0.7012, 0.2988, 0.5000)  1 Sm 3.04, 2 Pr 3.10

The highest energy of formation from the pure elements belongs to which entry?
Tb6Pr2Sm3